The following is a PBE calculation of a geometry-optimized Tl5CdIn2Pb structure, from Alexandria.

Properties
DOS(E_F) ... 7.8 states/eV/cell
Total magnetic moment ... 0.00 μB/cell
Formation energy from the elements ... 0.02 eV per atom
Theoretical density ... 9.813 g/cm3

a = 8.6293 Å, b = 8.6293 Å, c = 11.8888 Å
α = 90.00°, β = 90.00°, γ = 143.08°
Closest atoms and distances in Å follow each position.
Atoms (fractional coordinates):
Tl1 0.0689 0.9311 0.7500  2 In 3.29, 6 Tl 3.42-3.43, 2 Pb 3.62
Tl2 0.2461 0.7539 0.5955  2 Cd 3.30, 1 In 3.31, 5 Tl 3.37-3.67, 1 Pb 3.44
Tl3 0.2461 0.7539 0.9045  2 Cd 3.30, 1 In 3.31, 5 Tl 3.37-3.67, 1 Pb 3.44
Tl4 0.4074 0.5926 0.0804  2 In 3.33, 6 Tl 3.37-3.72, 1 Cd 3.39, 1 Pb 3.42
Tl5 0.4074 0.5926 0.4196  2 In 3.33, 6 Tl 3.37-3.72, 1 Cd 3.39, 1 Pb 3.42
Tl6 0.5926 0.4074 0.5804  2 In 3.33, 6 Tl 3.37-3.72, 1 Cd 3.39, 1 Pb 3.42
Tl7 0.5926 0.4074 0.9196  2 In 3.33, 6 Tl 3.37-3.72, 1 Cd 3.39, 1 Pb 3.42
Tl8 0.7539 0.2461 0.0955  2 Cd 3.30, 1 In 3.31, 5 Tl 3.37-3.67, 1 Pb 3.44
Tl9 0.7539 0.2461 0.4045  2 Cd 3.30, 1 In 3.31, 5 Tl 3.37-3.67, 1 Pb 3.44
Tl10 0.9311 0.0689 0.2500  2 In 3.29, 6 Tl 3.42-3.43, 2 Pb 3.62
Cd1 0.2407 0.7593 0.2500  2 In 3.20, 6 Tl 3.30-3.39
Cd2 0.7593 0.2407 0.7500  2 In 3.20, 6 Tl 3.30-3.39
In1 0.0891 0.9109 0.0794  1 Cd 3.20, 4 Tl 3.29-3.33, 2 Pb 3.41, 1 In 3.47
In2 0.0891 0.9109 0.4206  1 Cd 3.20, 4 Tl 3.29-3.33, 2 Pb 3.41, 1 In 3.47
In3 0.9109 0.0891 0.5794  1 Cd 3.20, 4 Tl 3.29-3.33, 2 Pb 3.41, 1 In 3.47
In4 0.9109 0.0891 0.9206  1 Cd 3.20, 4 Tl 3.29-3.33, 2 Pb 3.41, 1 In 3.47
Pb1 0.4235 0.5765 0.7500  4 In 3.41, 6 Tl 3.42-3.62
Pb2 0.5765 0.4235 0.2500  4 In 3.41, 6 Tl 3.42-3.62